# 1
Computed, not measured: a relaxed structure of BaY2Te at the GGA-PBE level of DFT.

Results
spin magnetization: 0.0 μB per formula unit
formation energy (no corrections): -0.371 eV/atom
DFT total energy: -19.5 eV for the cell shown

Unit cell a=5.4571 b=4.0870 c=6.5464 alpha=78.39 beta=90.00 gamma=90.00
Fractional positions:
Y  0.0000  0.6039  0.5348
Y  0.0000  0.8961  0.9652
Te  0.5000  0.7500  0.7500
Ba  0.5000  0.2500  0.2500



# 2
Computed, not measured: a relaxed structure of Th2Ga2Au at the GGA-PBE level of DFT.

Results
spin magnetization: 0.0 μB per formula unit
DFT total energy: -54.6 eV for the cell shown

Unit cell a=4.5559 b=5.9112 c=9.8708 alpha=87.69 beta=76.66 gamma=67.33
Fractional positions:
Ga  0.6359  0.8428  0.8853
Ga  0.0729  0.2905  0.5636
Ga  0.9271  0.7095  0.4364
Ga  0.3641  0.1572  0.1147
Au  0.3860  0.8861  0.3418
Au  0.6140  0.1139  0.6582
Th  0.0869  0.7292  0.0971
Th  0.9131  0.2708  0.9029
Th  0.3126  0.7027  0.6721
Th  0.6874  0.2973  0.3279



# 3
Computed, not measured: a relaxed structure of RbLiAg2Ge at the GGA-PBE level of DFT.

Results
spin magnetization: 0.0 μB per formula unit
DFT total energy: -13.4 eV for the cell shown

Unit cell a=5.0977 b=5.0977 c=5.1651 alpha=90.00 beta=90.00 gamma=90.00
Fractional positions:
Rb  0.5000  0.5000  0.5000
Ag  0.0000  0.5000  0.0000
Ag  0.5000  0.0000  0.0000
Ge  0.0000  0.0000  0.0000
Li  0.0000  0.0000  0.5000



# 4
Computed, not measured: a relaxed structure of Y8As4Se3 at the GGA-PBE level of DFT.

Results
spin magnetization: 0.0 μB per formula unit
formation energy (no corrections): -1.568 eV/atom
DFT total energy: -104.3 eV for the cell shown

Unit cell a=8.1751 b=8.1602 c=8.1602 alpha=90.10 beta=119.97 gamma=119.97
Fractional positions:
Y  0.0000  0.2475  0.7525
Y  0.5000  0.7541  0.2459
Y  0.9949  0.2471  0.2471
Y  0.5085  0.7573  0.7573
Y  0.0000  0.7525  0.2475
Y  0.5000  0.2459  0.7541
Y  0.4915  0.2427  0.2427
Y  0.0051  0.7529  0.7529
Se  0.5000  0.5000  0.0000
Se  0.5000  0.0000  0.5000
Se  0.5000  0.5000  0.5000
As  0.0000  0.0000  0.5000
As  0.5000  0.0000  0.0000
As  0.0000  0.0000  0.0000
As  0.0000  0.5000  0.0000



# 5
Computed, not measured: a relaxed structure of AgMoAs2 at the GGA-PBE level of DFT.

Results
spin magnetization: 0.0 μB per formula unit
DFT total energy: -23.0 eV for the cell shown
relative energy among the computed polymorphs: 0 meV/atom

Unit cell a=8.4905 b=8.4905 c=8.4905 alpha=21.60 beta=21.60 gamma=21.60
Fractional positions:
As  0.5105  0.5105  0.5105
As  0.9895  0.9895  0.9895
Ag  0.7500  0.7500  0.7500
Mo  0.2500  0.2500  0.2500



# 6
Computed, not measured: a relaxed structure of Pa2PH4 at the GGA-PBE level of DFT.

Results
spin magnetization: 0.0 μB per formula unit
DFT total energy: -42.2 eV for the cell shown
relative energy among the computed polymorphs: 0 meV/atom

Unit cell a=3.7533 b=3.7533 c=7.3000 alpha=75.10 beta=75.10 gamma=60.00
Fractional positions:
H  0.4350  0.4350  0.6951
H  0.8637  0.8637  0.4088
H  0.1363  0.1363  0.5912
H  0.5650  0.5650  0.3049
Pa  0.7515  0.7515  0.7455
Pa  0.2485  0.2485  0.2545
P  0.0000  0.0000  0.0000



# 7
Computed, not measured: a relaxed structure of CeAs2 at the GGA-PBE level of DFT.

Results
spin magnetization: 0.0 μB per formula unit
DFT total energy: -17.7 eV for the cell shown

Unit cell a=3.9964 b=3.9964 c=5.3124 alpha=112.08 beta=112.08 gamma=90.00
Fractional positions:
As  0.8663  0.8663  0.7330
As  0.1337  0.1337  0.2670
Ce  0.5000  0.5000  0.0000



# 8
Computed, not measured: a relaxed structure of Tc2SnBr at the GGA-PBE level of DFT.

Results
spin magnetization: 0.0 μB per formula unit
formation energy (no corrections): 1.179 eV/atom
DFT total energy: -43.4 eV for the cell shown
relative energy among the computed polymorphs: 408 meV/atom

Unit cell a=6.0743 b=6.0743 c=6.7355 alpha=63.20 beta=63.20 gamma=90.00
Fractional positions:
Sn  0.7500  0.2500  0.5000
Sn  0.0000  0.0000  0.0000
Tc  0.8750  0.8406  0.7500
Tc  0.1594  0.6250  0.2500
Tc  0.3750  0.4094  0.7500
Tc  0.5906  0.1250  0.2500
Br  0.2500  0.7500  0.5000
Br  0.5000  0.5000  0.0000



# 9
Computed, not measured: a relaxed structure of TbNpGa4 at the GGA-PBE level of DFT.

Results
spin magnetization: 4.7 μB per formula unit
DFT total energy: -31.4 eV for the cell shown

Unit cell a=5.5263 b=5.5263 c=5.5263 alpha=60.00 beta=60.00 gamma=60.00
Each line ends with the local moment (μB).
Fractional positions:
Ga  0.1241  0.6253  0.6253  0.00
Ga  0.6253  0.6253  0.6253  0.00
Ga  0.6253  0.6253  0.1241  0.00
Ga  0.6253  0.1241  0.6253  0.00
Tb  0.2500  0.2500  0.2500  0.21
Np  0.0000  0.0000  0.0000  4.08



# 10
Computed, not measured: a relaxed structure of Rb3DyPu2Se6 at the GGA-PBE level of DFT.

Results
spin magnetization: 10.0 μB per formula unit
formation energy (no corrections): -1.534 eV/atom
DFT total energy: -75.5 eV for the cell shown

Unit cell a=7.4350 b=7.4350 c=8.3512 alpha=98.53 beta=98.53 gamma=120.00
Each line ends with the local moment (μB).
Fractional positions:
Se  0.9349  0.6041  0.8047  0.07
Se  0.2657  0.2657  0.8048  0.07
Se  0.0651  0.3959  0.1953  0.07
Se  0.7343  0.7343  0.1952  0.07
Se  0.3959  0.0651  0.1953  0.07
Se  0.6041  0.9349  0.8047  0.07
Dy  0.0000  0.0000  0.0000  -0.02
Rb  0.1668  0.8332  0.5000  0.00
Rb  0.5000  0.5000  0.5000  0.00
Rb  0.8332  0.1668  0.5000  0.00
Pu  0.3333  0.6667  0.0000  -5.12
Pu  0.6667  0.3333  0.0000  -5.12



# 11
Computed, not measured: a relaxed structure of Li3Pa3Se8 at the GGA-PBE level of DFT.

Results
spin magnetization: 2.0 μB per formula unit
formation energy (no corrections): -1.314 eV/atom
DFT total energy: -80.5 eV for the cell shown

Unit cell a=8.0653 b=8.0653 c=8.0653 alpha=62.70 beta=62.70 gamma=62.70
Each line ends with the local moment (μB).
Fractional positions:
Se  0.7559  0.7559  0.2268  -0.02
Se  0.7732  0.2441  0.2441  -0.02
Se  0.2441  0.7732  0.2441  -0.02
Se  0.7559  0.2268  0.7559  -0.02
Se  0.7520  0.7520  0.7520  -0.02
Se  0.2441  0.2441  0.7732  -0.02
Se  0.2268  0.7559  0.7559  -0.02
Se  0.2480  0.2480  0.2480  -0.02
Pa  0.5000  0.0000  0.0000  0.69
Pa  0.0000  0.5000  0.0000  0.69
Pa  0.0000  0.0000  0.5000  0.69
Li  0.0000  0.0000  0.0000  0.00
Li  0.3891  0.3891  0.3891  0.00
Li  0.6109  0.6109  0.6109  0.00



# 12
Computed, not measured: a relaxed structure of ZrTi2Bi3 at the GGA-PBE level of DFT.

Results
spin magnetization: 1.8 μB per formula unit
DFT total energy: -73.7 eV for the cell shown

Unit cell a=4.0261 b=6.8226 c=10.7003 alpha=90.00 beta=90.00 gamma=90.00
Each line ends with the local moment (μB).
Fractional positions:
Bi  0.0000  0.8075  0.6119  -0.04
Bi  0.5000  0.1837  0.0764  0.00
Bi  0.5000  0.6837  0.9236  0.00
Bi  0.5000  0.6980  0.2860  -0.03
Bi  0.5000  0.1980  0.7140  -0.03
Bi  0.0000  0.3075  0.3881  -0.04
Ti  0.5000  0.0089  0.4591  0.65
Ti  0.0000  0.9884  0.2218  0.64
Ti  0.0000  0.4884  0.7782  0.64
Ti  0.5000  0.5089  0.5409  0.65
Zr  0.0000  0.0147  0.8945  0.10
Zr  0.0000  0.5147  0.1055  0.10